(1)
Pa3Mn4Si2: optimized geometry, PBE-GGA.

a b c (Å): 8.8487 4.1942 8.3009
angles (deg): 90.00 93.85 90.00
Space group C2/m (No. 12)
Unique sites:
Pa  0.0000  0.0000  0.0000
Pa  0.1347  0.5000  0.3910
Mn  0.1102  0.0000  0.6436
Mn  0.2475  0.0000  0.9241
Si  0.1698  0.5000  0.7840

Values from the calculation:
Its uncorrected formation energy is -0.33 eV per atom. The total magnetic moment is 0.00 μB/f.u. The calculation puts the total energy at -158.0 eV per cell.


(2)
Pa2MnSi: optimized geometry, PBE-GGA.

a b c (Å): 4.4187 4.4187 14.1957
angles (deg): 90.00 90.00 120.00
Space group R-3m (No. 166, hexagonal axes)
Unique sites:
Pa  0.0000  0.0000  0.2422
Mn  0.0000  0.0000  0.5000
Si  0.0000  0.0000  0.0000

Values from the calculation:
Its uncorrected formation energy is -0.02 eV per atom. The total magnetic moment is 0.00 μB/f.u. The calculation puts the energy relative to the lowest polymorph listed for this composition at 180 meV/atom. The calculation puts the total energy at -101.0 eV per cell.


(3)
Pa2Mn9Si6: optimized geometry, PBE-GGA.

a b c (Å): 5.1961 5.1961 11.2015
angles (deg): 90.00 90.00 120.00
Space group P6/mmm (No. 191)
Unique sites:
Pa  0.0000  0.0000  0.1744
Mn  0.0000  0.5000  0.0000
Mn  0.0000  0.5000  0.3311
Si  0.3333  0.6667  0.1646
Si  0.3333  0.6667  0.5000

Values from the calculation:
Its uncorrected formation energy is -0.20 eV per atom. The total magnetic moment is 15.58 μB/f.u. The calculation puts the total energy at -137.5 eV per cell.


(4)
Pa3Mn2Si4: optimized geometry, PBE-GGA.

a b c (Å): 10.2724 4.1204 7.8619
angles (deg): 90.00 105.58 90.00
Space group C2/m (No. 12)
Unique sites:
Pa  0.0000  0.0000  0.0000
Pa  0.1254  0.5000  0.6936
Mn  0.1909  0.5000  0.3655
Si  0.0975  0.0000  0.4022
Si  0.2136  0.5000  0.0781

Values from the calculation:
Its uncorrected formation energy is -0.54 eV per atom. The total magnetic moment is 0.00 μB/f.u. The calculation puts the total energy at -146.8 eV per cell.


(5)
Pa3Mn2Si2: optimized geometry, PBE-GGA.

a b c (Å): 5.4439 7.7905 12.1366
angles (deg): 90.00 90.00 90.00
Space group Pbcm (No. 57)
Unique sites:
Pa  0.1204  0.2274  0.2500
Pa  0.3321  0.5947  0.0975
Mn  0.1599  0.5379  0.5789
Si  0.1387  0.2500  0.0000
Si  0.3740  0.6118  0.7500

Values from the calculation:
Its uncorrected formation energy is -0.46 eV per atom. The total magnetic moment is 0.00 μB/f.u. The calculation puts the total energy at -243.5 eV per cell.


(6)
PaMn2Si: optimized geometry, PBE-GGA.

a b c (Å): 2.9624 2.9624 6.7452
angles (deg): 90.00 90.00 90.00
Space group P4/mmm (No. 123)
Unique sites:
Pa  0.0000  0.0000  0.0000
Mn  0.5000  0.5000  0.3140
Si  0.0000  0.0000  0.5000

Values from the calculation:
Its uncorrected formation energy is -0.10 eV per atom. The total magnetic moment is 2.64 μB/f.u. The calculation puts the energy relative to the lowest polymorph listed for this composition at 228 meV/atom. The calculation puts the total energy at -33.7 eV per cell.


(7)
Pa2Mn12Si7: optimized geometry, PBE-GGA.

a b c (Å): 9.5489 9.5489 3.6911
angles (deg): 90.00 90.00 120.00
Space group P-6 (No. 174)
Unique sites:
Pa  0.0000  0.0000  0.0000
Pa  0.3333  0.6667  0.5000
Mn  0.0491  0.2850  0.5000
Mn  0.1019  0.7194  0.0000
Mn  0.3873  0.1767  0.0000
Mn  0.5488  0.4325  0.5000
Si  0.0716  0.4550  0.0000
Si  0.2551  0.2131  0.5000
Si  0.6667  0.3333  0.0000

Values from the calculation:
Its uncorrected formation energy is -0.38 eV per atom. The total magnetic moment is 9.30 μB/f.u. The calculation puts the total energy at -175.0 eV per cell.


(8)
Pa2MnSi: optimized geometry, PBE-GGA.

a b c (Å): 10.1174 4.3871 3.9602
angles (deg): 90.00 112.92 90.00
Space group C2/m (No. 12)
Unique sites:
Pa  0.1825  0.0000  0.1824
Mn  0.0000  0.0000  0.5000
Si  0.0000  0.5000  0.5000

Values from the calculation:
Its uncorrected formation energy is -0.14 eV per atom. The total magnetic moment is 0.00 μB/f.u. The calculation puts the energy relative to the lowest polymorph listed for this composition at 61 meV/atom. The calculation puts the total energy at -68.3 eV per cell.


(9)
Pa3MnSi: optimized geometry, PBE-GGA.

a b c (Å): 6.3596 9.0743 7.1086
angles (deg): 90.00 90.00 90.00
Space group Imma (No. 74)
Unique sites:
Pa  0.0000  0.2500  0.0624
Pa  0.2500  0.0135  0.2500
Mn  0.2500  0.2500  0.7500
Si  0.0000  0.2500  0.4802

Values from the calculation:
Its uncorrected formation energy is -0.09 eV per atom. The total magnetic moment is 0.00 μB/f.u. The calculation puts the total energy at -174.1 eV per cell.


(10)
Pa2MnSi3: optimized geometry, PBE-GGA.

a b c (Å): 3.7724 4.1258 6.9745
angles (deg): 90.00 90.00 90.00
Space group Pmm2 (No. 25)
Unique sites:
Pa  0.0000  0.0000  0.0000
Pa  0.0000  0.5000  0.4730
Mn  0.5000  0.0000  0.3149
Si  0.5000  0.0000  0.6473
Si  0.5000  0.5000  0.1548
Si  0.5000  0.5000  0.8162

Values from the calculation:
Its uncorrected formation energy is -0.55 eV per atom. The total magnetic moment is 0.00 μB/f.u. The calculation puts the energy relative to the lowest polymorph listed for this composition at 11 meV/atom. The calculation puts the total energy at -47.8 eV per cell.


(11)
Pa2Mn2Si: optimized geometry, PBE-GGA.

a b c (Å): 9.8190 4.8073 7.7911
angles (deg): 90.00 107.64 90.00
Space group C2/c (No. 15)
Unique sites:
Pa  0.1505  0.1356  0.1327
Mn  0.1335  0.3724  0.5380
Si  0.0000  0.3892  0.7500

Values from the calculation:
Its uncorrected formation energy is -0.36 eV per atom. The total magnetic moment is 0.00 μB/f.u. The calculation puts the total energy at -178.2 eV per cell.


(12)
PaMn5Si3: optimized geometry, PBE-GGA.

a b c (Å): 3.8589 11.9308 11.0451
angles (deg): 90.00 90.00 90.00
Space group Cmcm (No. 63)
Unique sites:
Pa  0.0000  0.1650  0.2500
Mn  0.0000  0.0000  0.0000
Mn  0.0000  0.1923  0.5531
Mn  0.0000  0.4417  0.1508
Si  0.0000  0.1247  0.7500
Si  0.0000  0.3837  0.5554

Values from the calculation:
Its uncorrected formation energy is -0.34 eV per atom. The total magnetic moment is 5.60 μB/f.u. The calculation puts the total energy at -298.6 eV per cell.


(13)
PaMnSi: optimized geometry, PBE-GGA.

a b c (Å): 5.5162 3.1616 5.7658
angles (deg): 90.00 90.00 90.00
Space group Pmma (No. 51)
Unique sites:
Pa  0.2500  0.0000  0.1509
Mn  0.0000  0.0000  0.5000
Si  0.2500  0.5000  0.7097

Values from the calculation:
Its uncorrected formation energy is -0.19 eV per atom. The total magnetic moment is 0.00 μB/f.u. The calculation puts the total energy at -49.3 eV per cell.


(14)
PaMn2Si: optimized geometry, PBE-GGA.

a b c (Å): 5.5204 5.8494 3.9818
angles (deg): 90.00 90.00 90.00
Space group Cmmm (No. 65)
Unique sites:
Pa  0.0000  0.0000  0.0000
Mn  0.0000  0.2982  0.5000
Si  0.0000  0.5000  0.0000

Values from the calculation:
Its uncorrected formation energy is 0.06 eV per atom. The total magnetic moment is 0.66 μB/f.u. The calculation puts the energy relative to the lowest polymorph listed for this composition at 388 meV/atom. The calculation puts the total energy at -66.1 eV per cell.


(15)
Pa3Mn2Si7: optimized geometry, PBE-GGA.

a b c (Å): 4.0565 4.0556 12.4788
angles (deg): 90.00 99.34 90.00
Space group P2/m (No. 10)
Unique sites:
Pa  0.0000  0.0000  0.0000
Pa  0.3168  0.5000  0.6340
Mn  0.1290  0.0000  0.2586
Si  0.0866  0.5000  0.1730
Si  0.2221  0.0000  0.4440
Si  0.4137  0.0000  0.8271
Si  0.5000  0.5000  0.0000

Values from the calculation:
Its uncorrected formation energy is -0.56 eV per atom. The total magnetic moment is 0.00 μB/f.u. The calculation puts the total energy at -91.5 eV per cell.


(16)
PaMn2Si: optimized geometry, PBE-GGA.

a b c (Å): 4.1755 4.1755 3.3575
angles (deg): 90.00 90.00 90.00
Space group P4/mmm (No. 123)
Unique sites:
Pa  0.0000  0.0000  0.0000
Mn  0.0000  0.5000  0.5000
Si  0.5000  0.5000  0.0000

Values from the calculation:
Its uncorrected formation energy is -0.21 eV per atom. The total magnetic moment is 0.59 μB/f.u. The calculation puts the energy relative to the lowest polymorph listed for this composition at 124 meV/atom. The calculation puts the total energy at -34.1 eV per cell.


(17)
PaMnSi: optimized geometry, PBE-GGA.

a b c (Å): 4.2120 4.2120 3.4673
angles (deg): 90.00 90.00 120.00
Space group P-6m2 (No. 187)
Unique sites:
Pa  0.0000  0.0000  0.0000
Mn  0.3333  0.6667  0.5000
Si  0.6667  0.3333  0.5000

Values from the calculation:
Its uncorrected formation energy is -0.39 eV per atom. The total magnetic moment is 1.40 μB/f.u. The calculation puts the total energy at -25.2 eV per cell.


(18)
Pa4MnSi8: optimized geometry, PBE-GGA.

a b c (Å): 3.9065 3.9247 16.0905
angles (deg): 90.00 90.00 90.00
Space group Pmm2 (No. 25)
Unique sites:
Pa  0.0000  0.0000  0.0000
Pa  0.0000  0.5000  0.4954
Pa  0.5000  0.0000  0.7818
Pa  0.5000  0.5000  0.2811
Mn  0.0000  0.5000  0.7084
Si  0.0000  0.0000  0.3419
Si  0.0000  0.0000  0.6303
Si  0.0000  0.5000  0.1404
Si  0.0000  0.5000  0.8496
Si  0.5000  0.0000  0.1403
Si  0.5000  0.0000  0.4302
Si  0.5000  0.5000  0.6301
Si  0.5000  0.5000  0.9362

Values from the calculation:
Its uncorrected formation energy is -0.45 eV per atom. The total magnetic moment is 0.02 μB/f.u. The calculation puts the total energy at -96.4 eV per cell.


(19)
PaMn3Si3: optimized geometry, PBE-GGA.

a b c (Å): 6.2823 6.2823 6.2823
angles (deg): 90.00 90.00 90.00
Space group Pm-3n (No. 223)
Unique sites:
Pa  0.0000  0.0000  0.0000
Mn  0.0000  0.2500  0.5000
Si  0.0000  0.5000  0.2500

Values from the calculation:
Its uncorrected formation energy is 0.33 eV per atom. The total magnetic moment is 2.54 μB/f.u. The calculation puts the total energy at -102.0 eV per cell.


(20)
Pa2MnSi2Tc: optimized geometry, PBE-GGA.

a b c (Å): 5.9036 12.7773 5.8916
angles (deg): 90.00 90.00 90.00
Space group Ibam (No. 72)
Unique sites:
Pa  0.2431  0.1551  0.0000
Mn  0.0000  0.0000  0.2500
Si  0.2380  0.1009  0.5000
Tc  0.0000  0.5000  0.2500

Values from the calculation:
Its uncorrected formation energy is -0.51 eV per atom. The total magnetic moment is 0.00 μB/f.u. The calculation puts the total energy at -209.8 eV per cell.


(21)
PaMnSiTc: optimized geometry, PBE-GGA.

a b c (Å): 6.3450 6.3450 6.3450
angles (deg): 90.00 90.00 90.00
Space group F-43m (No. 216)
Unique sites:
Pa  0.0000  0.0000  0.0000
Mn  0.2500  0.2500  0.2500
Si  0.0000  0.0000  0.5000
Tc  0.2500  0.2500  0.7500

Values from the calculation:
Its uncorrected formation energy is -0.22 eV per atom. The total magnetic moment is 0.36 μB/f.u. The calculation puts the total energy at -141.3 eV per cell.


(22)
ThPaMnSi2: optimized geometry, PBE-GGA.

a b c (Å): 4.0543 4.0543 12.5554
angles (deg): 90.00 90.00 90.00
Space group I-4m2 (No. 119)
Unique sites:
Th  0.0000  0.0000  0.0000
Pa  0.0000  0.5000  0.2500
Mn  0.0000  0.5000  0.7500
Si  0.0000  0.0000  0.4040

Values from the calculation:
Its uncorrected formation energy is -0.32 eV per atom. The total magnetic moment is 0.91 μB/f.u. The calculation puts the total energy at -77.1 eV per cell.